[1]
# TlZn2Fe

TlZn2Fe after structural relaxation (PBE, the Alexandria database).

a b c (Å): 4.0257 4.0257 4.0831
angles (deg): 90.00 90.00 90.00
Fractional coordinates of all 4 atoms:
Tl 0.0000 0.0000 0.0000
Zn 0.0000 0.5000 0.5000
Zn 0.5000 0.0000 0.5000
Fe 0.5000 0.5000 0.0000

## Properties
For the calculated volume, the calculation gives 66.2 Å³/cell. Its crystal system is tetragonal. The formation energy is 1.4 eV per formula unit.

[2]
# LaCeIn6

LaCeIn6 after structural relaxation (PBE, the Alexandria database).

a b c (Å): 4.7488 4.7488 9.4970
angles (deg): 90.00 90.00 90.00
Fractional coordinates of all 8 atoms:
La 0.0000 0.0000 0.0000
Ce 0.0000 0.0000 0.5000
In 0.0000 0.5000 0.2540
In 0.0000 0.5000 0.7460
In 0.5000 0.0000 0.2540
In 0.5000 0.0000 0.7460
In 0.5000 0.5000 0.0000
In 0.5000 0.5000 0.5000

## Properties
For the calculated volume, the calculation gives 214.2 Å³/cell. Its crystal system is tetragonal. The formation energy is -3.6 eV per formula unit.

[3]
# PrGa9Ir2

PrGa9Ir2 after structural relaxation (PBE, the Alexandria database).

a b c (Å): 8.2543 8.2543 3.8129
angles (deg): 90.00 90.00 120.00
Fractional coordinates of all 12 atoms:
Pr 0.0000 0.0000 0.0000
Ga 0.0000 0.5000 0.0000
Ga 0.1988 0.3977 0.5000
Ga 0.1988 0.8012 0.5000
Ga 0.3977 0.1988 0.5000
Ga 0.5000 0.0000 0.0000
Ga 0.5000 0.5000 0.0000
Ga 0.6023 0.8012 0.5000
Ga 0.8012 0.1988 0.5000
Ga 0.8012 0.6023 0.5000
Ir 0.3333 0.6667 0.0000
Ir 0.6667 0.3333 0.0000

## Properties
For the calculated volume, the calculation gives 225.0 Å³/cell. Its crystal system is hexagonal. The formation energy is -4.2 eV per formula unit.

Relative energy among the computed polymorphs readings, ordered: 0.100, 0.000, 0.000 eV/atom
Final energy readings, ordered: -12.0, -30.9, -53.9 eV per cell